# 1
Ba8InAg2Pt: relaxed, PBE.

The calculated formation energy comes out at -0.265 eV/atom. Its total energy is -33.04 eV/cell.

It has space group P2/m (No. 10), with a = 7.786 Å, b = 10.035 Å, c = 8.007 Å, α = 90.00°, β = 90.88° and γ = 90.00°. The asymmetric unit holds Ba at (0.226, 0.226, 0.166), Ba at (0.254, 0.000, 0.683), Ba at (0.268, 0.500, 0.659), In at (0.000, 0.500, 0.000), Ag at (0.500, 0.243, 0.500) and Pt at (0.000, 0.000, 0.000).

---

# 2
RbBa2InAg: relaxed, PBE.

The calculated formation energy comes out at 0.067 eV/atom. Its total energy is -10.07 eV/cell.

It has space group P4/mmm (No. 123), with a = 6.882 Å, b = 6.882 Å, c = 5.438 Å, α = 90.00°, β = 90.00° and γ = 90.00°. The asymmetric unit holds Rb at (0.000, 0.000, 0.000), Ba at (0.000, 0.500, 0.500), In at (0.500, 0.500, 0.500) and Ag at (0.500, 0.500, 0.000).

---

# 3
Ba2In6AgRh: relaxed, PBE.

The calculated formation energy comes out at -0.313 eV/atom. Its total energy is -33.61 eV/cell.

It has space group P-3m1 (No. 164), with a = 7.2147 Å, b = 7.2147 Å, c = 6.2055 Å, α = 90.00°, β = 90.00° and γ = 120.00°. The asymmetric unit holds Ba at (0.3333, 0.6667, 0.2885), In at (0.1853, 0.3706, 0.7801), Ag at (0.0000, 0.0000, 0.5000) and Rh at (0.0000, 0.0000, 0.0000).